1.
The following is a DFT calculation (GGA-PBE) of a geometry-optimized Rh2WCl structure.

Cell and atoms, written as POSCAR:
```
Rh2WCl
1.0
2.839 0.000 0.000
0.000 2.892 -0.079
0.000 0.235 7.870
Rh W Cl
2 1 1
Cartesian
0.000 2.277 3.701
0.000 2.179 0.116
1.420 0.782 1.948
1.420 2.345 5.844
```

Properties
**Formation energy from raw total energies**: -7 meV per atom
**Crystal system**: monoclinic
**Mass density**: 10.91 Mg/m³
**Space group**: P2/m (10)
**Total moment**: 0.0000 μB/atom
**Offset from the most stable computed form**: 0.000 eV per atom

2.
The following is a DFT calculation (GGA-PBE) of a geometry-optimized Rh2WCl structure.

Cell and atoms, written as POSCAR:
```
Rh2WCl
1.0
-5.637 -0.093 -1.063
1.587 -0.398 4.556
-1.171 2.424 0.913
Rh W Cl
2 1 1
Cartesian
-3.404 1.165 -0.075
0.000 0.000 0.000
0.208 1.013 2.735
-2.025 -0.245 1.746
```

Properties
**Formation energy from raw total energies**: 649 meV per atom
**Crystal system**: monoclinic
**Mass density**: 11.51 Mg/m³
**Space group**: C2/m (12)
**Total moment**: 0.0000 μB/atom
**Offset from the most stable computed form**: 0.656 eV per atom

3.
The following is a DFT calculation (GGA-PBE) of a geometry-optimized Rh2WCl structure.

Cell and atoms, written as POSCAR:
```
Rh2WCl
1.0
8.792 0.010 0.006
8.323 2.834 0.006
8.323 1.383 2.473
Cl Rh W
1 2 1
Cartesian
19.248 3.197 1.880
25.414 4.222 2.482
6.265 1.041 0.612
12.668 2.104 1.237
```

Properties
**Formation energy from raw total energies**: 239 meV per atom
**Crystal system**: trigonal
**Mass density**: 11.52 Mg/m³
**Space group**: R3m (160)
**Total moment**: 0.2382 μB/atom
**Offset from the most stable computed form**: 0.246 eV per atom

4.
The following is a DFT calculation (GGA-PBE) of a geometry-optimized Rh2WCl structure.

Cell and atoms, written as POSCAR:
```
Rh2WCl
1.0
8.655 -0.008 -0.005
8.171 2.853 -0.005
8.171 1.382 2.496
Rh Cl W
2 1 1
Cartesian
24.959 4.220 2.483
12.537 2.120 1.247
18.748 3.170 1.865
6.249 1.057 0.622
```

Properties
**Formation energy from raw total energies**: 98 meV per atom
**Crystal system**: trigonal
**Mass density**: 11.40 Mg/m³
**Space group**: R-3m (166)
**Total moment**: 0.0000 μB/atom
**Offset from the most stable computed form**: 0.105 eV per atom